# NaNbW PBE relaxed
# Total magnetic moment ... 0.387 μB per cell
# Formation energy ... 395 meV/atom
# Energy relative to the lowest polymorph listed for this composition ... 0.39 eV/f.u.
data_NaNbW
_chemical_formula_sum 'Na2 Nb2 W2'
_cell_length_a 3.097
_cell_length_b 3.097
_cell_length_c 13.924
_cell_angle_alpha 90.04
_cell_angle_beta 90.10
_cell_angle_gamma 90.00
_symmetry_space_group_name_H-M 'P -1'
_symmetry_Int_Tables_number 2
loop_
_symmetry_equiv_pos_as_xyz
'x,y,z'
'-x,-y,-z'
loop_
_atom_site_label
_atom_site_fract_x
_atom_site_fract_y
_atom_site_fract_z
_atom_site_occupancy
Na1 0.247 0.249 0.117 1
Nb1 0.251 0.251 0.684 1
W1 0.250 0.250 0.444 1



# NaNbW PBE relaxed
# Total magnetic moment ... 0.000 μB per cell
# Formation energy ... 542 meV/atom
# Energy relative to the lowest polymorph listed for this composition ... 0.83 eV/f.u.
data_NaNbW
_chemical_formula_sum 'Na2 Nb2 W2'
_cell_length_a 2.764
_cell_length_b 5.332
_cell_length_c 8.191
_cell_angle_alpha 81.73
_cell_angle_beta 82.57
_cell_angle_gamma 80.75
_symmetry_space_group_name_H-M 'P -1'
_symmetry_Int_Tables_number 2
loop_
_symmetry_equiv_pos_as_xyz
'x,y,z'
'-x,-y,-z'
loop_
_atom_site_label
_atom_site_fract_x
_atom_site_fract_y
_atom_site_fract_z
_atom_site_occupancy
Na1 0.231 0.244 0.495 1
Nb1 0.419 0.410 0.850 1
W1 0.068 0.093 0.132 1



# NaNbW PBE relaxed
# Total magnetic moment ... 0.000 μB per cell
# Formation energy ... 548 meV/atom
# Energy relative to the lowest polymorph listed for this composition ... 0.84 eV/f.u.
data_NaNbW
_chemical_formula_sum 'Na2 Nb2 W2'
_cell_length_a 2.770
_cell_length_b 5.312
_cell_length_c 8.262
_cell_angle_alpha 79.16
_cell_angle_beta 82.69
_cell_angle_gamma 80.46
_symmetry_space_group_name_H-M 'P 1'
_symmetry_Int_Tables_number 1
loop_
_symmetry_equiv_pos_as_xyz
'x,y,z'
loop_
_atom_site_label
_atom_site_fract_x
_atom_site_fract_y
_atom_site_fract_z
_atom_site_occupancy
Na1 0.000 0.000 0.000 1
Na2 0.499 0.500 0.001 1
Nb1 0.325 0.347 0.647 1
Nb2 0.662 0.657 0.353 1
W1 0.141 0.150 0.366 1
W2 0.846 0.853 0.635 1



# NaNb2W PBE relaxed
# Total magnetic moment ... 1.743 μB per cell
# Formation energy ... 1396 meV/atom
# Energy relative to the lowest polymorph listed for this composition ... 2.81 eV/f.u.
data_NaNb2W
_chemical_formula_sum 'Na4 Nb8 W4'
_cell_length_a 4.018
_cell_length_b 4.018
_cell_length_c 19.391
_cell_angle_alpha 90.00
_cell_angle_beta 90.00
_cell_angle_gamma 90.00
_symmetry_space_group_name_H-M 'I -4 2 d'
_symmetry_Int_Tables_number 122
_symmetry_space_group_name_Hall 'I -4 2bw'
loop_
_atom_site_label
_atom_site_fract_x
_atom_site_fract_y
_atom_site_fract_z
_atom_site_occupancy
Na1 0.000 0.000 0.000 1
Nb1 0.229 0.250 0.625 1
W1 0.000 0.000 0.500 1



# NaNbW2 PBE relaxed
# Total magnetic moment ... 0.000 μB per cell
# Formation energy ... 1099 meV/atom
# Energy relative to the lowest polymorph listed for this composition ... 0.00 eV/f.u.
data_NaNbW2
_chemical_formula_sum 'Na4 Nb4 W8'
_cell_length_a 6.534
_cell_length_b 6.534
_cell_length_c 6.534
_cell_angle_alpha 90.00
_cell_angle_beta 90.00
_cell_angle_gamma 90.00
_symmetry_space_group_name_H-M 'F m -3 m'
_symmetry_Int_Tables_number 225
_symmetry_space_group_name_Hall '-F 4 2 3'
loop_
_atom_site_label
_atom_site_fract_x
_atom_site_fract_y
_atom_site_fract_z
_atom_site_occupancy
Na1 0.000 0.000 0.000 1
Nb1 0.000 0.000 0.500 1
W1 0.250 0.250 0.250 1



# NaNbW PBE relaxed
# Total magnetic moment ... 0.000 μB per cell
# Formation energy ... 772 meV/atom
# Energy relative to the lowest polymorph listed for this composition ... 1.52 eV/f.u.
data_NaNbW
_chemical_formula_sum 'Na2 Nb2 W2'
_cell_length_a 4.6486
_cell_length_b 4.6486
_cell_length_c 6.8590
_cell_angle_alpha 90.00
_cell_angle_beta 90.00
_cell_angle_gamma 120.00
_symmetry_space_group_name_H-M 'P -3 m 1'
_symmetry_Int_Tables_number 164
_symmetry_space_group_name_Hall '-P 3 2"'
loop_
_atom_site_label
_atom_site_fract_x
_atom_site_fract_y
_atom_site_fract_z
_atom_site_occupancy
Na1 0.3333 0.6667 0.0758 1
Nb1 0.3333 0.6667 0.5575 1
W1 0.0000 0.0000 0.3293 1



# NaY2Nb PBE relaxed
# Total magnetic moment ... 9.570 μB per cell
# Formation energy ... 482 meV/atom
# Energy relative to the lowest polymorph listed for this composition ... 0.00 eV/f.u.
data_NaY2Nb
_chemical_formula_sum 'Na4 Y8 Nb4'
_cell_length_a 7.548
_cell_length_b 7.548
_cell_length_c 7.548
_cell_angle_alpha 90.00
_cell_angle_beta 90.00
_cell_angle_gamma 90.00
_symmetry_space_group_name_H-M 'F m -3 m'
_symmetry_Int_Tables_number 225
_symmetry_space_group_name_Hall '-F 4 2 3'
loop_
_atom_site_label
_atom_site_fract_x
_atom_site_fract_y
_atom_site_fract_z
_atom_site_occupancy
Na1 0.000 0.000 0.000 1
Y1 0.250 0.250 0.250 1
Nb1 0.000 0.000 0.500 1



# NaY2Nb PBE relaxed
# Total magnetic moment ... 0.974 μB per cell
# Formation energy ... 1008 meV/atom
# Energy relative to the lowest polymorph listed for this composition ... 2.10 eV/f.u.
data_NaY2Nb
_chemical_formula_sum 'Na4 Y8 Nb4'
_cell_length_a 4.621
_cell_length_b 4.621
_cell_length_c 20.962
_cell_angle_alpha 90.00
_cell_angle_beta 90.00
_cell_angle_gamma 90.00
_symmetry_space_group_name_H-M 'I -4 2 d'
_symmetry_Int_Tables_number 122
_symmetry_space_group_name_Hall 'I -4 2bw'
loop_
_atom_site_label
_atom_site_fract_x
_atom_site_fract_y
_atom_site_fract_z
_atom_site_occupancy
Na1 0.000 0.000 0.000 1
Y1 0.235 0.250 0.625 1
Nb1 0.000 0.000 0.500 1



# Na2YNb PBE relaxed
# Total magnetic moment ... 3.330 μB per cell
# Formation energy ... 1007 meV/atom
# Energy relative to the lowest polymorph listed for this composition ... 0.00 eV/f.u.
data_Na2YNb
_chemical_formula_sum 'Na8 Y4 Nb4'
_cell_length_a 7.414
_cell_length_b 7.414
_cell_length_c 7.414
_cell_angle_alpha 90.00
_cell_angle_beta 90.00
_cell_angle_gamma 90.00
_symmetry_space_group_name_H-M 'F m -3 m'
_symmetry_Int_Tables_number 225
_symmetry_space_group_name_Hall '-F 4 2 3'
loop_
_atom_site_label
_atom_site_fract_x
_atom_site_fract_y
_atom_site_fract_z
_atom_site_occupancy
Na1 0.250 0.250 0.250 1
Y1 0.000 0.000 0.000 1
Nb1 0.000 0.000 0.500 1



# Na2YNb2 PBE relaxed
# Total magnetic moment ... 0.403 μB per cell
# Formation energy ... 805 meV/atom
data_Na2YNb2
_chemical_formula_sum 'Na4 Y2 Nb4'
_cell_length_a 3.623
_cell_length_b 3.623
_cell_length_c 23.718
_cell_angle_alpha 90.00
_cell_angle_beta 90.00
_cell_angle_gamma 90.00
_symmetry_space_group_name_H-M 'I 4/m m m'
_symmetry_Int_Tables_number 139
_symmetry_space_group_name_Hall '-I 4 2'
loop_
_atom_site_label
_atom_site_fract_x
_atom_site_fract_y
_atom_site_fract_z
_atom_site_occupancy
Na1 0.000 0.000 0.124 1
Y1 0.000 0.000 0.500 1
Nb1 0.000 0.500 0.250 1



# Na2YNb PBE relaxed
# Total magnetic moment ... 3.408 μB per cell
# Formation energy ... 1039 meV/atom
# Energy relative to the lowest polymorph listed for this composition ... 0.13 eV/f.u.
data_Na2YNb
_chemical_formula_sum 'Na8 Y4 Nb4'
_cell_length_a 8.688
_cell_length_b 8.688
_cell_length_c 5.653
_cell_angle_alpha 90.00
_cell_angle_beta 90.00
_cell_angle_gamma 90.00
_symmetry_space_group_name_H-M 'I -4 2 d'
_symmetry_Int_Tables_number 122
_symmetry_space_group_name_Hall 'I -4 2bw'
loop_
_atom_site_label
_atom_site_fract_x
_atom_site_fract_y
_atom_site_fract_z
_atom_site_occupancy
Na1 0.234 0.250 0.125 1
Y1 0.000 0.000 0.500 1
Nb1 0.000 0.000 0.000 1



# NaY3Nb PBE relaxed
# Total magnetic moment ... 0.000 μB per cell
# Formation energy ... 526 meV/atom
data_NaY3Nb
_chemical_formula_sum 'Na1 Y3 Nb1'
_cell_length_a 5.574
_cell_length_b 5.574
_cell_length_c 5.574
_cell_angle_alpha 90.00
_cell_angle_beta 90.00
_cell_angle_gamma 90.00
_symmetry_space_group_name_H-M 'P m -3 m'
_symmetry_Int_Tables_number 221
_symmetry_space_group_name_Hall '-P 4 2 3'
loop_
_atom_site_label
_atom_site_fract_x
_atom_site_fract_y
_atom_site_fract_z
_atom_site_occupancy
Na1 0.000 0.000 0.000 1
Y1 0.000 0.500 0.500 1
Nb1 0.500 0.500 0.500 1



# NaYZrNb2 PBE relaxed
# Total magnetic moment ... 0.000 μB per cell
# Formation energy ... 1656 meV/atom
data_NaYZrNb2
_chemical_formula_sum 'Na1 Y1 Zr1 Nb2'
_cell_length_a 4.994
_cell_length_b 4.994
_cell_length_c 4.991
_cell_angle_alpha 90.00
_cell_angle_beta 90.00
_cell_angle_gamma 90.00
_symmetry_space_group_name_H-M 'P 4/m m m'
_symmetry_Int_Tables_number 123
_symmetry_space_group_name_Hall '-P 4 2'
loop_
_atom_site_label
_atom_site_fract_x
_atom_site_fract_y
_atom_site_fract_z
_atom_site_occupancy
Na1 0.000 0.000 0.000 1
Y1 0.000 0.000 0.500 1
Zr1 0.500 0.500 0.000 1
Nb1 0.000 0.500 0.500 1